No. 1
Ho7Sb2Pt2: relaxed, PBE-GGA.

```
data_Ho7Sb2Pt2
_cell_length_a 8.704
_cell_length_b 10.724
_cell_length_c 6.919
_cell_angle_alpha 90.00
_cell_angle_beta 90.00
_cell_angle_gamma 90.00
_symmetry_space_group_name_H-M 'C m m m'
_symmetry_Int_Tables_number 65
_symmetry_space_group_name_Hall '-C 2 2'
loop_
_atom_site_label
_atom_site_type_symbol
_atom_site_fract_x
_atom_site_fract_y
_atom_site_fract_z
Ho1 Ho 0.000 0.000 0.000
Ho2 Ho 0.000 0.500 0.239
Ho3 Ho 0.250 0.250 0.250
Sb1 Sb 0.200 0.000 0.500
Pt1 Pt 0.000 0.279 0.000
```

Results
E above lowest polymorph, meV per atom: 185.4
E_form (uncorrected), eV/f.u.: -8.0


No. 2
MgC3: relaxed, PBE-GGA.

```
data_MgC3
_cell_length_a 5.305
_cell_length_b 5.305
_cell_length_c 5.305
_cell_angle_alpha 90.00
_cell_angle_beta 90.00
_cell_angle_gamma 90.00
_symmetry_space_group_name_H-M 'F m -3 m'
_symmetry_Int_Tables_number 225
_symmetry_space_group_name_Hall '-F 4 2 3'
loop_
_atom_site_label
_atom_site_type_symbol
_atom_site_fract_x
_atom_site_fract_y
_atom_site_fract_z
Mg1 Mg 0.000 0.000 0.000
C1 C 0.000 0.000 0.500
C2 C 0.250 0.250 0.250
```

Results
E above lowest polymorph, meV per atom: 2286.6
DFT formation energy, meV per atom: 2951


No. 3
CePrZr: relaxed, PBE-GGA.

```
data_CePrZr
_cell_length_a 3.4106
_cell_length_b 3.4106
_cell_length_c 8.4196
_cell_angle_alpha 90.00
_cell_angle_beta 90.00
_cell_angle_gamma 120.00
_symmetry_space_group_name_H-M 'P 3 m 1'
_symmetry_Int_Tables_number 156
loop_
_symmetry_equiv_pos_as_xyz
'x,y,z'
'-y,x-y,z'
'-x+y,-x,z'
'-y,-x,z'
'-x+y,y,z'
'x,x-y,z'
loop_
_atom_site_label
_atom_site_type_symbol
_atom_site_fract_x
_atom_site_fract_y
_atom_site_fract_z
Ce1 Ce 0.0000 0.0000 0.0000
Pr1 Pr 0.6667 0.3333 0.3525
Zr1 Zr 0.3333 0.6667 0.6904
```

Results
E above lowest polymorph, meV per atom: 34.4
DFT formation energy, meV per atom: 148


No. 4
LiCaEuSi: relaxed, PBE-GGA.

```
data_LiCaEuSi
_cell_length_a 7.367
_cell_length_b 7.367
_cell_length_c 7.367
_cell_angle_alpha 90.00
_cell_angle_beta 90.00
_cell_angle_gamma 90.00
_symmetry_space_group_name_H-M 'F -4 3 m'
_symmetry_Int_Tables_number 216
_symmetry_space_group_name_Hall 'F -4 2 3'
loop_
_atom_site_label
_atom_site_type_symbol
_atom_site_fract_x
_atom_site_fract_y
_atom_site_fract_z
Li1 Li 0.000 0.000 0.000
Ca1 Ca 0.250 0.250 0.250
Eu1 Eu 0.250 0.250 0.750
Si1 Si 0.000 0.000 0.500
```

Results
E_form (uncorrected), eV/f.u.: -1.1


No. 5
AcPm2NdY2: relaxed, PBE-GGA.

```
data_AcPm2NdY2
_cell_length_a 6.734
_cell_length_b 18.361
_cell_length_c 3.505
_cell_angle_alpha 90.00
_cell_angle_beta 90.00
_cell_angle_gamma 90.00
_symmetry_space_group_name_H-M 'P n n m'
_symmetry_Int_Tables_number 58
loop_
_symmetry_equiv_pos_as_xyz
'x,y,z'
'-x,-y,-z'
'-x,-y,z'
'x,y,-z'
'x+1/2,-y+1/2,-z+1/2'
'-x+1/2,y+1/2,z+1/2'
'-x+1/2,y+1/2,-z+1/2'
'x+1/2,-y+1/2,z+1/2'
loop_
_atom_site_label
_atom_site_type_symbol
_atom_site_fract_x
_atom_site_fract_y
_atom_site_fract_z
Ac1 Ac 0.000 0.000 0.000
Pm1 Pm 0.205 0.348 0.500
Nd1 Nd 0.000 0.500 0.000
Y1 Y 0.210 0.185 0.000
```

Results
DFT formation energy, meV per atom: 281


No. 6
Ta3TlCu: relaxed, PBE-GGA.

```
data_Ta3TlCu
_cell_length_a 5.069
_cell_length_b 5.069
_cell_length_c 5.069
_cell_angle_alpha 90.00
_cell_angle_beta 90.00
_cell_angle_gamma 90.00
_symmetry_space_group_name_H-M 'P m -3 m'
_symmetry_Int_Tables_number 221
_symmetry_space_group_name_Hall '-P 4 2 3'
loop_
_atom_site_label
_atom_site_type_symbol
_atom_site_fract_x
_atom_site_fract_y
_atom_site_fract_z
Ta1 Ta 0.000 0.000 0.500
Tl1 Tl 0.000 0.000 0.000
Cu1 Cu 0.500 0.500 0.500
```

Results
E above lowest polymorph, meV per atom: 1515.2
DFT formation energy, meV per atom: 2624


No. 7
Y2ReBr: relaxed, PBE-GGA.

```
data_Y2ReBr
_cell_length_a 6.308
_cell_length_b 6.308
_cell_length_c 13.195
_cell_angle_alpha 90.00
_cell_angle_beta 90.00
_cell_angle_gamma 90.00
_symmetry_space_group_name_H-M 'I -4 2 d'
_symmetry_Int_Tables_number 122
_symmetry_space_group_name_Hall 'I -4 2bw'
loop_
_atom_site_label
_atom_site_type_symbol
_atom_site_fract_x
_atom_site_fract_y
_atom_site_fract_z
Y1 Y 0.198 0.250 0.125
Re1 Re 0.000 0.000 0.000
Br1 Br 0.000 0.000 0.500
```

Results
E above lowest polymorph, meV per atom: 832.3
E_form (uncorrected), eV/f.u.: 1.4


No. 8
TbDyEr6Tm2: relaxed, PBE-GGA.

```
data_TbDyEr6Tm2
_cell_length_a 8.954
_cell_length_b 14.818
_cell_length_c 9.415
_cell_angle_alpha 90.00
_cell_angle_beta 97.28
_cell_angle_gamma 90.00
_symmetry_space_group_name_H-M 'C 1 2/c 1'
_symmetry_Int_Tables_number 15
loop_
_symmetry_equiv_pos_as_xyz
'x,y,z'
'-x,-y,-z'
'-x,y,-z+1/2'
'x,-y,z+1/2'
'x+1/2,y+1/2,z'
'-x+1/2,-y+1/2,-z'
'-x+1/2,y+1/2,-z+1/2'
'x+1/2,-y+1/2,z+1/2'
loop_
_atom_site_label
_atom_site_type_symbol
_atom_site_fract_x
_atom_site_fract_y
_atom_site_fract_z
Tb1 Tb 0.000 0.025 0.250
Dy1 Dy 0.000 0.409 0.750
Er1 Er 0.063 0.186 0.944
Er2 Er 0.102 0.393 0.119
Er3 Er 0.205 0.226 0.317
Tm1 Tm 0.249 0.053 0.545
```

Results
DFT formation energy, meV per atom: 124


No. 9
YCd2Mo: relaxed, PBE-GGA.

```
data_YCd2Mo
_cell_length_a 4.342
_cell_length_b 4.342
_cell_length_c 9.026
_cell_angle_alpha 90.00
_cell_angle_beta 90.00
_cell_angle_gamma 90.00
_symmetry_space_group_name_H-M 'I 4/m m m'
_symmetry_Int_Tables_number 139
_symmetry_space_group_name_Hall '-I 4 2'
loop_
_atom_site_label
_atom_site_type_symbol
_atom_site_fract_x
_atom_site_fract_y
_atom_site_fract_z
Y1 Y 0.000 0.000 0.000
Cd1 Cd 0.000 0.500 0.250
Mo1 Mo 0.000 0.000 0.500
```

Results
E above lowest polymorph, meV per atom: 0.0
DFT formation energy, meV per atom: 197


No. 10
PSN: relaxed, PBE-GGA.

```
data_PSN
_cell_length_a 19.829
_cell_length_b 2.995
_cell_length_c 6.671
_cell_angle_alpha 90.00
_cell_angle_beta 107.04
_cell_angle_gamma 90.00
_symmetry_space_group_name_H-M 'C 1 2/m 1'
_symmetry_Int_Tables_number 12
loop_
_symmetry_equiv_pos_as_xyz
'x,y,z'
'-x,-y,-z'
'-x,y,-z'
'x,-y,z'
'x+1/2,y+1/2,z'
'-x+1/2,-y+1/2,-z'
'-x+1/2,y+1/2,-z'
'x+1/2,-y+1/2,z'
loop_
_atom_site_label
_atom_site_type_symbol
_atom_site_fract_x
_atom_site_fract_y
_atom_site_fract_z
P1 P 0.187 0.000 0.370
P2 P 0.198 0.000 0.850
S1 S 0.086 0.000 0.727
S2 S 0.109 0.500 0.302
N1 N 0.206 0.500 0.969
N2 N 0.229 0.000 0.633
```

Results
E above lowest polymorph, meV per atom: 219.0
E_form (uncorrected), eV/f.u.: 0.7


No. 11
Sm3Pt2Rh7: relaxed, PBE-GGA.

```
data_Sm3Pt2Rh7
_cell_length_a 5.3249
_cell_length_b 5.3249
_cell_length_c 26.5829
_cell_angle_alpha 90.00
_cell_angle_beta 90.00
_cell_angle_gamma 120.00
_symmetry_space_group_name_H-M 'R -3 m'
_symmetry_Int_Tables_number 166
_symmetry_space_group_name_Hall '-R 3 2"'
loop_
_atom_site_label
_atom_site_type_symbol
_atom_site_fract_x
_atom_site_fract_y
_atom_site_fract_z
Sm1 Sm 0.0000 0.0000 0.0000
Sm2 Sm 0.0000 0.0000 0.1395
Pt1 Pt 0.0000 0.0000 0.3330
Rh1 Rh 0.0000 0.0000 0.5000
Rh2 Rh 0.0012 0.5006 0.9166
```

Results
DFT formation energy, meV per atom: -631


No. 12
In2ReBSe: relaxed, PBE-GGA.

```
data_In2ReBSe
_cell_length_a 5.372
_cell_length_b 5.372
_cell_length_c 4.049
_cell_angle_alpha 90.00
_cell_angle_beta 90.00
_cell_angle_gamma 90.00
_symmetry_space_group_name_H-M 'P 4/m m m'
_symmetry_Int_Tables_number 123
_symmetry_space_group_name_Hall '-P 4 2'
loop_
_atom_site_label
_atom_site_type_symbol
_atom_site_fract_x
_atom_site_fract_y
_atom_site_fract_z
In1 In 0.000 0.500 0.000
Re1 Re 0.000 0.000 0.000
B1 B 0.000 0.000 0.500
Se1 Se 0.500 0.500 0.500
```

Results
E_form (uncorrected), eV/f.u.: 3.8


Energy: -5.4874, -4.3654, -6.2724, -5.1831, -4.9368, -5.7798, -6.4124, -4.4315, -4.5839, -5.7113, -7.1064, -4.8584 (eV per atom)
Theoretical density: 9.20, 2.68, 7.29, 3.77, 6.43, 10.34, 5.62, 8.91, 8.00, 2.70, 11.92, 7.19 (g/cm³)
Magnetic moment: 0.0, 0.0, 0.0, 28.8, 0.0, 1.0, 0.0, 0.0, 2.4, 0.0, 0.0, 1.4 (μB per cell)